[1]
DFT (PBE-GGA) results for a geometry-optimized In2GaI8 structure.

Summary:
**Formation energy (no corrections)**: -0.423 eV/atom
**V**: 1109 Å³/cell

Cell: 13.744 11.217 7.231 Å, 90.00 96.06 90.00°
Space group C2/m (No. 12)
Symmetry-distinct sites (fractional):
In (0.200, 0.000, 0.151) (multiplicity 4)
Ga (0.000, 0.000, 0.500) (multiplicity 2)
I (0.093, 0.190, 0.281) (multiplicity 8)
I (0.108, 0.500, 0.719) (multiplicity 4)
I (0.190, 0.000, 0.764) (multiplicity 4)

[2]
DFT (PBE-GGA) results for a geometry-optimized Rb2TaAlSn structure.

Summary:
**Formation enthalpy at 0 K**: 1.4864 eV per atom
**V**: 235 Å³/cell

Cell: 6.852 6.852 5.006 Å, 90.00 90.00 90.00°
Space group P4/mmm (No. 123)
Symmetry-distinct sites (fractional):
Rb (0.000, 0.500, 0.000) (multiplicity 2)
Ta (0.000, 0.000, 0.500) (multiplicity 1)
Al (0.500, 0.500, 0.000) (multiplicity 1)
Sn (0.500, 0.500, 0.500) (multiplicity 1)

[3]
DFT (PBE-GGA) results for a geometry-optimized NdSiF structure.

Summary:
**Formation energy (no corrections)**: -1.522 eV/atom
**V**: 66 Å³/cell
**Excess energy over the best structure of this formula in the dataset**: 261 meV/atom

Cell: 4.0033 4.0033 4.7763 Å, 90.00 90.00 120.00°
Space group P-6m2 (No. 187)
Symmetry-distinct sites (fractional):
Nd (0.0000, 0.0000, 0.0000) (multiplicity 1)
Si (0.6667, 0.3333, 0.5000) (multiplicity 1)
F (0.3333, 0.6667, 0.0000) (multiplicity 1)

[4]
DFT (PBE-GGA) results for a geometry-optimized Ac9Pd2Pt4 structure.

Summary:
**Formation enthalpy at 0 K**: -0.8435 eV per atom
**V**: 1081 Å³/cell

Cell: 7.6577 7.6577 21.2784 Å, 90.00 90.00 120.00°
Space group P-3c1 (No. 165)
Symmetry-distinct sites (fractional):
Ac (0.0000, 0.3219, 0.2500) (multiplicity 6)
Ac (0.0160, 0.3511, 0.5828) (multiplicity 12)
Pd (0.0000, 0.0000, 0.1606) (multiplicity 4)
Pt (0.3333, 0.6667, 0.1734) (multiplicity 4)
Pt (0.3333, 0.6667, 0.4932) (multiplicity 4)

[5]
DFT (PBE-GGA) results for a geometry-optimized K2NdU3O12 structure.

Summary:
**Formation energy (no corrections)**: -2.848 eV/atom
**V**: 1123 Å³/cell

Cell: 8.1722 8.1722 19.4175 Å, 90.00 90.00 120.00°
Space group R-3m (No. 166, hexagonal axes)
Symmetry-distinct sites (fractional):
K (0.0000, 0.0000, 0.1789) (multiplicity 6)
Nd (0.0000, 0.0000, 0.5000) (multiplicity 3)
U (0.0000, 0.5000, 0.0000) (multiplicity 9)
O (0.0514, 0.5257, 0.1001) (multiplicity 18)
O (0.0939, 0.5470, 0.3500) (multiplicity 18)

[6]
DFT (PBE-GGA) results for a geometry-optimized Ca2DyPd4 structure.

Summary:
**Formation enthalpy at 0 K**: -0.5860 eV per atom
**V**: 630 Å³/cell

Cell: 7.521 7.592 11.028 Å, 90.00 90.00 90.00°
Space group Fmmm (No. 69)
Symmetry-distinct sites (fractional):
Ca (0.000, 0.000, 0.184) (multiplicity 8)
Dy (0.000, 0.000, 0.500) (multiplicity 4)
Pd (0.250, 0.250, 0.124) (multiplicity 16)

[7]
DFT (PBE-GGA) results for a geometry-optimized La3CeNi8 structure.

Summary:
**Formation enthalpy at 0 K**: -0.3247 eV per atom
**V**: 589 Å³/cell

Cell: 5.1778 5.1778 25.3736 Å, 90.00 90.00 120.00°
Space group R3m (No. 160, hexagonal axes)
Symmetry-distinct sites (fractional):
La (0.0000, 0.0000, 0.0000) (multiplicity 3)
La (0.0000, 0.0000, 0.1253) (multiplicity 3)
La (0.0000, 0.0000, 0.6229) (multiplicity 3)
Ce (0.0000, 0.0000, 0.4981) (multiplicity 3)
Ni (0.0000, 0.0000, 0.3118) (multiplicity 3)
Ni (0.0000, 0.0000, 0.8123) (multiplicity 3)
Ni (0.0005, 0.5002, 0.5607) (multiplicity 9)
Ni (0.0021, 0.5010, 0.0629) (multiplicity 9)

[8]
DFT (PBE-GGA) results for a geometry-optimized Nd2AlGeRh6 structure.

Summary:
**Formation enthalpy at 0 K**: -0.5664 eV per atom
**V**: 182 Å³/cell

Cell: 5.525 6.354 6.419 Å, 73.51 64.51 64.30°
Space group P-1 (No. 2)
Symmetry-distinct sites (fractional):
Nd (0.008, 0.243, 0.240) (multiplicity 2)
Al (0.500, 0.500, 0.000) (multiplicity 1)
Ge (0.500, 0.000, 0.500) (multiplicity 1)
Rh (0.001, 0.203, 0.795) (multiplicity 2)
Rh (0.317, 0.435, 0.431) (multiplicity 2)
Rh (0.499, 0.797, 0.206) (multiplicity 2)